Compound: Na3NiO
Source: Alexandria
Functional: GGA+U
Structure: relaxed

Unit cell a=4.627 b=4.627 c=4.627 alpha=90.00 beta=90.00 gamma=90.00
Each line ends with the local moment (μB).
Positions (direct):
Ni: 0.500 0.500 0.500  1.25
Na: 0.000 0.500 0.000  -0.01
O: 0.000 0.000 0.000  -0.01
Na: 0.000 0.000 0.500  -0.01
Na: 0.500 0.000 0.000  0.00

Summary:
Its crystal system is cubic. As for the polymorph energy (0 for the lowest one): 0.0 kJ per mole of atoms. The final energy comes out at -2.48 eV per atom. The space-group type is No. 221.